Record 1
LiDy2Tl8: relaxed, GGA-PBE.

abc: 4.8421 4.8421 12.4837
angles: 90.00 90.00 90.00
Closest atoms and distances in Å follow each position.
Fractional positions:
Li 0.0000 0.0000 0.0000  8 Tl 2.91
Dy 0.0000 0.0000 0.3147  12 Tl 3.34-3.42
Dy 0.0000 0.0000 0.6853  12 Tl 3.34-3.42
Tl 0.0000 0.5000 0.1300  2 Li 2.91, 1 Tl 3.25
Tl 0.0000 0.5000 0.5000  4 Dy 3.35, 8 Tl 3.36-3.42
Tl 0.0000 0.5000 0.8700  2 Li 2.91, 1 Tl 3.25
Tl 0.5000 0.0000 0.1300  2 Li 2.91, 1 Tl 3.25
Tl 0.5000 0.0000 0.5000  4 Dy 3.35, 8 Tl 3.36-3.42
Tl 0.5000 0.0000 0.8700  2 Li 2.91, 1 Tl 3.25
Tl 0.5000 0.5000 0.3129  8 Tl 3.33-3.36, 4 Dy 3.42
Tl 0.5000 0.5000 0.6871  8 Tl 3.33-3.36, 4 Dy 3.42

Total magnetization, μB/cell: 0.00
Space-group type: No. 123
DFT total energy, eV/atom: -2.91
Formation enthalpy at 0 K, eV/f.u.: -2.0


Record 2
CePm2Th: relaxed, GGA-PBE.

abc: 3.5412 3.5412 10.4446
angles: 90.00 90.00 90.00
Closest atoms and distances in Å follow each position.
Fractional positions:
Ce 0.0000 0.0000 0.0000  4 Ce 3.54, 8 Pm 3.64
Pm 0.5000 0.5000 0.2527  4 Pm 3.54, 4 Th 3.60, 4 Ce 3.64
Pm 0.5000 0.5000 0.7472  4 Pm 3.54, 4 Th 3.60, 4 Ce 3.64
Th 0.0000 0.0000 0.5000  4 Th 3.54, 8 Pm 3.60

Total magnetization, μB/cell: 1.02
Space-group type: No. 123
DFT total energy, eV/atom: -5.62
Formation enthalpy at 0 K, eV/f.u.: 0.4
E above lowest polymorph, meV per atom: 14


Record 3
Na3Nd2ErTe6: relaxed, GGA-PBE.

abc: 7.7939 7.7939 8.0087
angles: 99.35 99.35 120.02
Closest atoms and distances in Å follow each position.
Fractional positions:
Na 0.0000 0.0000 0.0000  6 Te 3.25-3.34
Na 0.3305 0.6695 0.0000  6 Te 3.25-3.31
Na 0.6695 0.3305 0.0000  6 Te 3.25-3.31
Nd 0.1662 0.8338 0.5000  6 Te 3.18-3.19
Nd 0.8338 0.1662 0.5000  6 Te 3.18-3.19
Er 0.5000 0.5000 0.5000  6 Te 3.09
Te 0.0972 0.4214 0.2639  1 Er 3.09, 2 Nd 3.19, 3 Na 3.25-3.31
Te 0.2551 0.2551 0.7360  1 Er 3.09, 2 Nd 3.18, 3 Na 3.27-3.34
Te 0.4214 0.0972 0.2639  1 Er 3.09, 2 Nd 3.19, 3 Na 3.25-3.31
Te 0.5786 0.9028 0.7361  1 Er 3.09, 2 Nd 3.19, 3 Na 3.25-3.31
Te 0.7449 0.7449 0.2640  1 Er 3.09, 2 Nd 3.18, 3 Na 3.27-3.34
Te 0.9028 0.5786 0.7361  1 Er 3.09, 2 Nd 3.19, 3 Na 3.25-3.31

Total magnetization, μB/cell: 0.00
Space-group type: No. 12
DFT total energy, eV/atom: -4.39
ΔE_f (raw), eV per atom: -1.32


Record 4
InHg2Pb4: relaxed, GGA-PBE.

abc: 5.2362 6.7588 11.8960
angles: 84.95 77.40 89.81
Closest atoms and distances in Å follow each position.
Fractional positions:
In 0.0000 0.0000 0.0000  8 Pb 3.27-3.58, 2 Hg 3.41, 2 In 3.57-3.59
In 0.4294 0.7068 0.1397  8 Pb 3.32-3.56, 2 Hg 3.35-3.41, 2 In 3.57-3.59
Hg 0.1515 0.5667 0.7092  8 Pb 3.26-3.61, 2 Hg 3.28-3.32
Hg 0.4320 0.2031 0.1355  8 Pb 3.26-3.64, 4 In 3.35-3.41
Hg 0.7132 0.3990 0.5749  4 Hg 3.28-3.38, 6 Pb 3.28-3.61
Hg 0.7157 0.8998 0.5692  8 Pb 3.30-3.57, 2 Hg 3.38
Pb 0.0038 0.5005 0.9971  3 Hg 3.33-3.61, 5 Pb 3.37-3.57, 4 In 3.38-3.47
Pb 0.1513 0.0648 0.7095  5 Hg 3.30-3.70, 1 In 3.36, 5 Pb 3.38-3.59
Pb 0.2780 0.6725 0.4300  5 Hg 3.26-3.56, 1 In 3.36, 6 Pb 3.38-3.57
Pb 0.2874 0.1736 0.4194  5 Hg 3.28-3.61, 7 Pb 3.38-3.51
Pb 0.5771 0.2759 0.8544  4 Hg 3.26-3.61, 6 Pb 3.36-3.52, 2 In 3.53-3.58
Pb 0.5777 0.7787 0.8527  3 Hg 3.32-3.49, 3 In 3.32-3.55, 6 Pb 3.36-3.59
Pb 0.8516 0.4436 0.2880  3 Hg 3.32-3.64, 7 Pb 3.36-3.53, 2 In 3.51-3.55
Pb 0.8588 0.9416 0.2831  3 In 3.27-3.56, 3 Hg 3.31-3.52, 6 Pb 3.36-3.57

Total magnetization, μB/cell: 0.00
Space-group type: No. 1
DFT total energy, eV/atom: -2.58
Formation enthalpy at 0 K, eV/f.u.: 0.1
E above lowest polymorph, meV per atom: 0


Record 5
Pm5Tm3Th2: relaxed, GGA-PBE.

abc: 10.1714 10.1714 9.0493
angles: 108.61 108.61 115.44
Closest atoms and distances in Å follow each position.
Fractional positions:
Pm 0.0299 0.9701 0.7500  3 Pm 3.30-3.66, 4 Tm 3.36-3.48, 2 Th 3.57
Pm 0.1353 0.3637 0.7523  2 Th 3.35-3.36, 2 Tm 3.42-3.46, 1 Pm 3.66
Pm 0.2215 0.7785 0.7500  1 Pm 3.30, 4 Th 3.33-3.64, 2 Tm 3.55
Pm 0.2763 0.7237 0.2500  5 Tm 3.24-3.57
Pm 0.3637 0.1353 0.2523  2 Th 3.35-3.36, 2 Tm 3.42-3.46, 1 Pm 3.66
Pm 0.6363 0.8647 0.7477  2 Th 3.35-3.36, 2 Tm 3.42-3.46, 1 Pm 3.66
Pm 0.7237 0.2763 0.7500  5 Tm 3.24-3.57
Pm 0.7785 0.2215 0.2500  1 Pm 3.30, 4 Th 3.33-3.64, 2 Tm 3.55
Pm 0.8647 0.6363 0.2477  2 Th 3.35-3.36, 2 Tm 3.42-3.46, 1 Pm 3.66
Pm 0.9701 0.0299 0.2500  3 Pm 3.30-3.66, 4 Tm 3.36-3.48, 2 Th 3.57
Tm 0.0265 0.2688 0.0440  1 Th 3.18, 6 Pm 3.36-3.55, 1 Tm 3.43
Tm 0.2688 0.0265 0.5440  1 Th 3.18, 6 Pm 3.36-3.55, 1 Tm 3.43
Tm 0.4646 0.5354 0.2500  1 Pm 3.24, 4 Th 3.32-3.51, 2 Tm 3.43
Tm 0.5354 0.4646 0.7500  1 Pm 3.24, 4 Th 3.32-3.51, 2 Tm 3.43
Tm 0.7312 0.9735 0.4560  1 Th 3.18, 6 Pm 3.36-3.55, 1 Tm 3.43
Tm 0.9735 0.7312 0.9560  1 Th 3.18, 6 Pm 3.36-3.55, 1 Tm 3.43
Th 0.2452 0.4873 0.4819  3 Tm 3.18-3.51, 3 Pm 3.33-3.36
Th 0.4873 0.2452 0.9819  3 Tm 3.18-3.51, 3 Pm 3.33-3.36
Th 0.5127 0.7548 0.0181  3 Tm 3.18-3.51, 3 Pm 3.33-3.36
Th 0.7548 0.5127 0.5181  3 Tm 3.18-3.51, 3 Pm 3.33-3.36

Total magnetization, μB/cell: 0.00
Space-group type: No. 15
DFT total energy, eV/atom: -4.99
Formation enthalpy at 0 K, eV/f.u.: 2.1


Record 6
NaSmSn6: relaxed, GGA-PBE.

abc: 4.7021 4.7021 9.6263
angles: 90.00 90.00 90.00
Closest atoms and distances in Å follow each position.
Fractional positions:
Na 0.0000 0.0000 0.0000  12 Sn 3.32-3.34
Sm 0.0000 0.0000 0.5000  12 Sn 3.32-3.39
Sn 0.0000 0.5000 0.2459  8 Sn 3.32-3.39, 2 Na 3.34, 2 Sm 3.39
Sn 0.0000 0.5000 0.7541  8 Sn 3.32-3.39, 2 Na 3.34, 2 Sm 3.39
Sn 0.5000 0.0000 0.2459  8 Sn 3.32-3.39, 2 Na 3.34, 2 Sm 3.39
Sn 0.5000 0.0000 0.7541  8 Sn 3.32-3.39, 2 Na 3.34, 2 Sm 3.39
Sn 0.5000 0.5000 0.0000  4 Na 3.32, 8 Sn 3.34
Sn 0.5000 0.5000 0.5000  4 Sm 3.32, 8 Sn 3.39

Total magnetization, μB/cell: 0.00
Space-group type: No. 123
DFT total energy, eV/atom: -4.05
Formation enthalpy at 0 K, eV/f.u.: -2.4


Record 7
CrInTe: relaxed, GGA-PBE.

abc: 4.8328 4.8328 4.8328
angles: 60.00 60.00 60.00
Closest atoms and distances in Å follow each position.
Fractional positions:
Cr 0.0000 0.0000 0.0000  4 In 2.96, 4 Te 2.96
In 0.7500 0.7500 0.7500  4 Cr 2.96
Te 0.2500 0.2500 0.2500  4 Cr 2.96

Total magnetization, μB/cell: 4.58
Space-group type: No. 216
DFT total energy, eV/atom: -4.99
ΔE_f (raw), eV per atom: 0.18
E above lowest polymorph, meV per atom: 0


Record 8
ErZnNi: relaxed, GGA-PBE.

abc: 4.3722 4.3722 4.3722
angles: 60.00 60.00 60.00
Closest atoms and distances in Å follow each position.
Fractional positions:
Er 0.0000 0.0000 0.0000  4 Ni 2.68
Zn 0.5000 0.5000 0.5000  4 Ni 2.68
Ni 0.7500 0.7500 0.7500  4 Er 2.68, 4 Zn 2.68

Total magnetization, μB/cell: 0.00
Space-group type: No. 216
DFT total energy, eV/atom: -4.16
Formation enthalpy at 0 K, eV/f.u.: -0.8


- What is the total magnetization in the third record?
  0.00 μB/cell


- Which value of total magnetization does entry 8 give?
  0.00 μB/cell


- Which formula does entry 3 have?
  Na3Nd2ErTe6